# 1
# Sr2AsOs

An optimized crystal structure of Sr2AsOs (PBE-GGA, Alexandria via LeMat-Bulk).

Cell and atoms, written as POSCAR:
```
Sr2AsOs
1.0
-0.200 2.164 2.450
-3.328 -2.116 1.598
4.440 -4.023 3.916
Os Sr As
1 2 1
Direct
0.500 0.500 0.750
0.000 0.000 0.999
0.000 0.000 0.501
0.500 0.500 0.250
```

Properties
**Energy**: -4.60 eV/atom
**Magnetization**: 0.94 μB/f.u.

=====

# 2
# SrAs3Os

An optimized crystal structure of SrAs3Os (PBE-GGA, Alexandria via LeMat-Bulk).

Cell and atoms, written as POSCAR:
```
SrAs3Os
1.0
4.935 0.000 0.000
0.000 4.935 0.000
0.000 0.000 4.935
As Sr Os
3 1 1
Direct
0.000 0.000 0.500
0.000 0.500 0.000
0.500 0.000 0.000
0.500 0.500 0.500
0.000 0.000 0.000
```

Properties
**Energy**: -5.29 eV/atom
**Magnetization**: 0.00 μB/f.u.

=====

# 3
# Sr2AsOs

An optimized crystal structure of Sr2AsOs (PBE-GGA, Alexandria via LeMat-Bulk).

Cell and atoms, written as POSCAR:
```
Sr2AsOs
1.0
-4.668 -0.936 -2.864
1.219 -5.121 1.777
-1.765 0.519 2.707
As Sr Os
1 2 1
Direct
0.500 0.000 0.500
0.500 0.500 0.000
0.000 0.000 0.000
0.000 0.500 0.500
```

Properties
**Energy**: -4.58 eV/atom
**Magnetization**: 1.06 μB/f.u.

=====

# 4
# Sr2AsOs

An optimized crystal structure of Sr2AsOs (PBE-GGA, Alexandria via LeMat-Bulk).

Cell and atoms, written as POSCAR:
```
Sr2AsOs
1.0
5.048 0.000 0.000
2.524 4.371 0.000
2.524 1.457 4.121
Os As Sr
1 1 2
Direct
0.750 0.750 0.750
0.500 0.500 0.500
0.000 0.000 0.000
0.250 0.250 0.250
```

Properties
**Energy**: -4.42 eV/atom
**Magnetization**: 0.01 μB/f.u.

=====

# 5
# SrAs2Os

An optimized crystal structure of SrAs2Os (PBE-GGA, Alexandria via LeMat-Bulk).

Cell and atoms, written as POSCAR:
```
SrAs2Os
1.0
4.352 0.000 0.000
0.000 4.072 0.001
0.000 2.033 5.979
Sr As Os
1 2 1
Direct
0.500 0.657 0.810
0.500 0.359 0.407
0.000 0.045 0.035
0.000 0.439 0.248
```

Properties
**Energy**: -5.81 eV/atom
**Magnetization**: 0.00 μB/f.u.

=====

# 6
# Sr3AsOs

An optimized crystal structure of Sr3AsOs (PBE-GGA, Alexandria via LeMat-Bulk).

Cell and atoms, written as POSCAR:
```
Sr3AsOs
1.0
-1.089 1.227 -5.344
-5.365 -1.365 0.780
-1.133 5.280 1.444
Sr Os As
3 1 1
Direct
0.000 0.000 0.500
0.500 0.000 0.000
0.000 0.500 0.000
0.000 0.000 0.000
0.500 0.500 0.500
```

Properties
**Energy**: -3.90 eV/atom
**Magnetization**: 0.00 μB/f.u.

=====

# 7
# Sr2As2Os

An optimized crystal structure of Sr2As2Os (PBE-GGA, Alexandria via LeMat-Bulk).

Cell and atoms, written as POSCAR:
```
Sr2As2Os
1.0
6.762 0.000 0.000
0.000 6.762 0.000
0.000 0.000 4.909
Sr As Os
4 4 2
Direct
0.825 0.325 0.500
0.675 0.825 0.500
0.175 0.675 0.500
0.325 0.175 0.500
0.859 0.641 0.000
0.641 0.141 0.000
0.141 0.359 0.000
0.359 0.859 0.000
0.000 0.000 0.000
0.500 0.500 0.000
```

Properties
**Energy**: -5.20 eV/atom
**Magnetization**: 0.00 μB/f.u.

=====

# 8
# SrAs2Os

An optimized crystal structure of SrAs2Os (PBE-GGA, Alexandria via LeMat-Bulk).

Cell and atoms, written as POSCAR:
```
SrAs2Os
1.0
-0.407 -5.523 4.981
4.180 -4.296 -4.422
4.869 -3.671 1.896
As Sr Os
4 2 2
Direct
0.375 0.284 0.750
0.034 0.625 0.250
0.875 0.966 0.750
0.716 0.125 0.250
0.500 0.500 0.000
0.250 0.750 0.500
0.000 0.000 0.000
0.750 0.250 0.500
```

Properties
**Energy**: -5.82 eV/atom
**Magnetization**: 0.00 μB/f.u.

=====

# 9
# SrAs2Os

An optimized crystal structure of SrAs2Os (PBE-GGA, Alexandria via LeMat-Bulk).

Cell and atoms, written as POSCAR:
```
SrAs2Os
1.0
5.180 -0.014 0.006
0.090 5.179 -0.006
-1.718 -3.518 3.392
As Os Sr
2 1 1
Direct
0.434 0.434 0.000
0.066 0.066 0.000
0.250 0.750 0.500
0.750 0.250 0.500
```

Properties
**Energy**: -5.71 eV/atom
**Magnetization**: 0.00 μB/f.u.

=====

# 10
# SrAs4Os

An optimized crystal structure of SrAs4Os (PBE-GGA, Alexandria via LeMat-Bulk).

Cell and atoms, written as POSCAR:
```
SrAs4Os
1.0
-1.147 -1.755 5.217
-2.400 3.507 3.682
-5.334 -0.808 1.586
Sr As Os
1 4 1
Direct
0.000 0.000 0.000
0.869 0.377 0.377
0.377 0.377 0.377
0.377 0.377 0.869
0.377 0.869 0.377
0.750 0.750 0.750
```

Properties
**Energy**: -4.70 eV/atom
**Magnetization**: 2.09 μB/f.u.

=====

# 11
# Sr2AsOs

An optimized crystal structure of Sr2AsOs (PBE-GGA, Alexandria via LeMat-Bulk).

Cell and atoms, written as POSCAR:
```
Sr2AsOs
1.0
-3.214 -1.357 -2.498
3.168 -1.688 -3.159
1.602 -5.643 1.004
Sr Os As
2 1 1
Direct
0.000 0.980 0.914
0.500 0.268 0.338
0.500 0.575 0.726
0.000 0.676 0.522
```

Properties
**Energy**: -5.04 eV/atom
**Magnetization**: 0.00 μB/f.u.

=====

# 12
# SrAs3Os

An optimized crystal structure of SrAs3Os (PBE-GGA, Alexandria via LeMat-Bulk).

Cell and atoms, written as POSCAR:
```
SrAs3Os
1.0
-3.556 -3.824 0.871
1.591 -0.332 5.039
-3.585 3.646 1.372
Sr As Os
1 3 1
Direct
0.000 0.000 0.000
0.500 0.000 0.000
0.000 0.500 0.000
0.000 0.000 0.500
0.500 0.500 0.500
```

Properties
**Energy**: -3.09 eV/atom
**Magnetization**: 0.00 μB/f.u.

=====

# 13
# SrAs2Os

An optimized crystal structure of SrAs2Os (PBE-GGA, Alexandria via LeMat-Bulk).

Cell and atoms, written as POSCAR:
```
SrAs2Os
1.0
-0.926 2.670 -1.616
1.722 -1.200 -2.970
-5.893 -3.304 -2.083
As Sr Os
2 1 1
Direct
0.000 0.000 0.047
0.500 0.500 0.291
0.500 0.500 0.752
0.000 0.000 0.410
```

Properties
**Energy**: -5.45 eV/atom
**Magnetization**: 0.00 μB/f.u.

=====

# 14
# Sr2AsOs

An optimized crystal structure of Sr2AsOs (PBE-GGA, Alexandria via LeMat-Bulk).

Cell and atoms, written as POSCAR:
```
Sr2AsOs
1.0
-2.421 -4.806 -0.714
3.172 -2.178 -3.829
1.638 2.113 4.724
As Os Sr
1 1 2
Direct
0.250 0.750 0.500
0.750 0.250 0.500
0.000 0.000 0.000
0.500 0.500 0.000
```

Properties
**Energy**: -4.55 eV/atom
**Magnetization**: 0.87 μB/f.u.

=====

# 15
# SrAs2Os

An optimized crystal structure of SrAs2Os (PBE-GGA, Alexandria via LeMat-Bulk).

Cell and atoms, written as POSCAR:
```
SrAs2Os
1.0
3.170 -0.001 0.000
0.001 3.170 0.000
0.000 0.000 8.650
As Os Sr
2 1 1
Direct
0.000 0.000 0.004
0.500 0.500 0.318
0.000 0.000 0.452
0.500 0.500 0.726
```

Properties
**Energy**: -5.42 eV/atom
**Magnetization**: 0.00 μB/f.u.

=====

# 16
# Sr2AsOs

An optimized crystal structure of Sr2AsOs (PBE-GGA, Alexandria via LeMat-Bulk).

Cell and atoms, written as POSCAR:
```
Sr2AsOs
1.0
11.319 0.000 0.000
0.000 11.319 0.000
5.660 5.660 2.337
As Sr Os
2 4 2
Direct
0.500 0.500 0.000
0.250 0.750 0.500
0.808 0.125 0.250
0.942 0.625 0.250
0.375 0.192 0.750
0.875 0.058 0.750
0.750 0.250 0.500
0.000 0.000 0.000
```

Properties
**Energy**: -4.87 eV/atom
**Magnetization**: 0.00 μB/f.u.

=====

# 17
# Sr2AsOs

An optimized crystal structure of Sr2AsOs (PBE-GGA, Alexandria via LeMat-Bulk).

Cell and atoms, written as POSCAR:
```
Sr2AsOs
1.0
-1.872 -0.523 2.607
1.355 -5.242 -0.080
4.848 1.196 3.721
Sr As Os
2 1 1
Direct
0.000 0.000 0.874
0.500 0.500 0.376
0.000 0.000 0.374
0.500 0.500 0.876
```

Properties
**Energy**: -4.37 eV/atom
**Magnetization**: 1.83 μB/f.u.

=====

# 18
# SrAs2Os

An optimized crystal structure of SrAs2Os (PBE-GGA, Alexandria via LeMat-Bulk).

Cell and atoms, written as POSCAR:
```
SrAs2Os
1.0
-2.334 2.537 -2.491
-0.508 -0.940 -4.117
-5.360 -2.349 -0.998
Os As Sr
1 2 1
Direct
0.750 0.750 0.750
0.464 0.464 0.608
0.036 0.036 0.892
0.250 0.250 0.250
```

Properties
**Energy**: -5.96 eV/atom
**Magnetization**: 0.00 μB/f.u.

=====

# 19
# Sr2AsOs

An optimized crystal structure of Sr2AsOs (PBE-GGA, Alexandria via LeMat-Bulk).

Cell and atoms, written as POSCAR:
```
Sr2AsOs
1.0
-8.292 -1.042 2.047
-7.412 -4.342 -0.482
-6.377 -4.486 3.637
Os Sr As
1 2 1
Direct
0.792 0.792 0.792
0.038 0.038 0.038
0.212 0.212 0.212
0.458 0.458 0.458
```

Properties
**Energy**: -5.05 eV/atom
**Magnetization**: 0.00 μB/f.u.

=====

# 20
# SrAs2Os

An optimized crystal structure of SrAs2Os (PBE-GGA, Alexandria via LeMat-Bulk).

Cell and atoms, written as POSCAR:
```
SrAs2Os
1.0
-2.099 -3.521 3.741
1.074 -5.387 -0.795
2.944 4.703 0.126
Sr As Os
1 2 1
Direct
0.750 0.250 0.500
0.000 0.000 0.000
0.250 0.750 0.500
0.500 0.500 0.000
```

Properties
**Energy**: -5.09 eV/atom
**Magnetization**: 0.00 μB/f.u.